No. 1
# MnFe2Ni

A PBEsol-optimized structure of MnFe2Ni (SCAN, Alexandria). Values from VASP.

```
&SYSTEM
  ibrav = 0, nat = 4, ntyp = 3
/
ATOMIC_SPECIES
Mn 54.94 Mn.upf
Fe 55.84 Fe.upf
Ni 58.69 Ni.upf
CELL_PARAMETERS angstrom
2.446 0.000 0.000
0.000 4.297 0.004
0.000 -1.518 4.020
ATOMIC_POSITIONS angstrom
Mn 1.223 0.000 0.000
Fe 0.000 2.148 0.002
Ni 1.223 1.389 2.012
Fe 0.000 -0.759 2.010
```

Values from the calculation:
Density = 8.85 Mg/m³
DOS at the Fermi energy = 2.67 states/eV per cell

***

No. 2
# BeAgAu2

A PBEsol-optimized structure of BeAgAu2 (SCAN, Alexandria). Values from VASP.

```
&SYSTEM
  ibrav = 0, nat = 4, ntyp = 3
/
ATOMIC_SPECIES
Be 9.01 Be.upf
Au 196.97 Au.upf
Ag 107.87 Ag.upf
CELL_PARAMETERS angstrom
-2.237 1.089 1.452
1.317 -0.612 2.488
3.047 6.332 -0.056
ATOMIC_POSITIONS angstrom
Be -0.460 0.239 1.970
Au 2.423 5.036 -0.045
Ag 1.064 3.404 1.942
Au 0.623 1.296 -0.011
```

Values from the calculation:
Density = 14.55 Mg/m³
DOS at the Fermi energy = 0.96 states/eV per cell

***

No. 3
# KZn2Re

A PBEsol-optimized structure of KZn2Re (SCAN, Alexandria). Values from VASP.

```
&SYSTEM
  ibrav = 0, nat = 4, ntyp = 3
/
ATOMIC_SPECIES
K 39.10 K.upf
Re 186.21 Re.upf
Zn 65.41 Zn.upf
CELL_PARAMETERS angstrom
2.681 0.000 0.000
0.000 3.949 0.000
0.000 0.000 7.270
ATOMIC_POSITIONS angstrom
K 1.340 1.975 0.000
Re 1.340 1.975 3.635
Zn 0.000 0.000 2.407
Zn 0.000 0.000 4.863
```

Values from the calculation:
Density = 7.68 Mg/m³
DOS at the Fermi energy = 2.07 states/eV per cell

***

The records above give, respectively, DFT total energy values of -70.73, -174.97, -104.65 eV for the cell shown.